Below is an optimized crystal structure of Ba3Li2Ca2Tl4, with properties calculated at the PBE-GGA level.

Cell: 5.6070 5.6070 14.6237 Å, 90.00 90.00 120.00°
Closest atoms and distances in Å follow each position.
Element x y z (fractional)
1 Ca 0.6667 0.3333 0.4233  4 Tl 3.23-3.38
2 Tl 0.6667 0.3333 0.1485  3 Li 3.24
3 Ba 0.0000 0.0000 0.2677  6 Tl 3.49-3.68, 3 Li 3.68
4 Tl 0.3333 0.6667 0.8515  3 Li 3.24
5 Li 0.6667 0.3333 0.8519  4 Tl 3.04-3.24
6 Ba 0.0000 0.0000 0.0000  6 Li 3.90, 6 Tl 3.90, 2 Ba 3.92
7 Tl 0.3333 0.6667 0.3561  1 Li 3.04, 4 Ca 3.23-3.38
8 Li 0.3333 0.6667 0.1481  4 Tl 3.04-3.24
9 Tl 0.6667 0.3333 0.6439  1 Li 3.04, 4 Ca 3.23-3.38
10 Ca 0.3333 0.6667 0.5767  4 Tl 3.23-3.38
11 Ba 0.0000 0.0000 0.7323  6 Tl 3.49-3.68, 3 Li 3.68

Computed properties:
ΔE_f: -225.9 meV per atom
theoretical density: 5.520 Mg/m³
total magnetization: 0.0 μB/f.u.
calculated volume: 36.2 A^3/atom